# K2NiBRh

A relaxed K2NiBRh crystal (GGA-PBE, the Alexandria database).

Cell: 5.973 5.973 4.468 Å, 90.00 90.00 90.00°
Space group P4/mmm (No. 123)
Unique sites:
K 0.000 0.500 0.000 x2
Ni 0.000 0.000 0.500 x1
B 0.500 0.500 0.500 x1
Rh 0.000 0.000 0.000 x1

Its energy is -14.1 eV/cell. The value obtained for the energy of formation is 1583 meV per atom. The value obtained for the density of states at the Fermi level is 6.23 states/eV per cell. Its calculated volume is 31.9 Å³ per atom.